LaCd2Br: optimized geometry, PBE.

D(E_F) (states/eV/f.u.): 5.041
E_form (uncorrected) (eV per atom): -0.201
Polymorph energy (0 for the lowest one) (eV per atom): 0.411

Unit cell a=7.7642 b=7.7642 c=7.7642 alpha=90.00 beta=90.00 gamma=90.00
Last column: nearest neighbours and their distance in Å.
Space group Fm-3m (No. 225)
Asymmetric unit:
La1 0.0000 0.0000 0.0000 (multiplicity 4)  8 Cd 3.36
Cd1 0.2500 0.2500 0.2500 (multiplicity 8)  4 Br 3.36, 4 La 3.36
Br1 0.0000 0.0000 0.5000 (multiplicity 4)  8 Cd 3.36

Tl12Cd3Hg5: optimized geometry, PBE.

D(E_F) (states/eV/f.u.): 12.092
DFT formation energy (meV per atom): 168

Unit cell a=17.8027 b=17.8027 c=17.8027 alpha=90.00 beta=90.00 gamma=90.00
Last column: nearest neighbours and their distance in Å.
Space group Ia-3d (No. 230)
Asymmetric unit:
Tl1 0.0176 0.0807 0.6509 (multiplicity 96)  2 Hg 2.97-3.06, 1 Cd 3.07
Cd1 0.0000 0.2500 0.1250 (multiplicity 24)  8 Tl 3.07-3.41
Hg1 0.0000 0.0000 0.0000 (multiplicity 16)  6 Tl 3.06
Hg2 0.0000 0.2500 0.3750 (multiplicity 24)  4 Tl 2.97

Sm3Mg2Tl: optimized geometry, PBE.

D(E_F) (states/eV/f.u.): 6.191
DFT formation energy (meV per atom): -203
Polymorph energy (0 for the lowest one) (eV per atom): 0.000

Unit cell a=5.3993 b=16.3644 c=3.8820 alpha=90.00 beta=90.00 gamma=90.00
Last column: nearest neighbours and their distance in Å.
Space group Cmmm (No. 65)
Asymmetric unit:
Sm1 0.0000 0.0000 0.0000 (multiplicity 2)  4 Tl 3.33, 4 Mg 3.41
Sm2 0.0000 0.3331 0.0000 (multiplicity 4)  6 Mg 3.28-3.33, 2 Tl 3.35
Mg1 0.0000 0.1711 0.5000 (multiplicity 4)  8 Sm 3.28-3.41
Tl1 0.0000 0.5000 0.5000 (multiplicity 2)  8 Sm 3.33-3.35

Nd2TmCu: optimized geometry, PBE.

D(E_F) (states/eV/f.u.): 6.743
DFT formation energy (meV per atom): 275
Polymorph energy (0 for the lowest one) (eV per atom): 0.311

Unit cell a=3.5062 b=3.5062 c=33.2910 alpha=90.00 beta=90.00 gamma=120.00
Last column: nearest neighbours and their distance in Å.
Space group R-3m (No. 166, hexagonal axes)
Asymmetric unit:
Nd1 0.0000 0.0000 0.1019 (multiplicity 6)  3 Cu 2.96
Tm1 0.0000 0.0000 0.0000 (multiplicity 3)  2 Nd 3.39, 6 Tm 3.51
Cu1 0.0000 0.0000 0.5000 (multiplicity 3)  6 Nd 2.96

LuPaIrPd: optimized geometry, PBE.

D(E_F) (states/eV/f.u.): 5.438
DFT formation energy (meV per atom): -717

Unit cell a=6.9105 b=6.9105 c=6.9105 alpha=90.00 beta=90.00 gamma=90.00
Last column: nearest neighbours and their distance in Å.
Space group F-43m (No. 216)
Asymmetric unit:
Lu1 0.0000 0.0000 0.0000 (multiplicity 4)  4 Ir 2.99, 4 Pd 2.99
Pa1 0.0000 0.0000 0.5000 (multiplicity 4)  4 Pd 2.99, 4 Ir 2.99
Ir1 0.2500 0.2500 0.2500 (multiplicity 4)  4 Pa 2.99, 4 Lu 2.99
Pd1 0.2500 0.2500 0.7500 (multiplicity 4)  4 Pa 2.99, 4 Lu 2.99

GaPBr3: optimized geometry, PBE.

D(E_F) (states/eV/f.u.): 1.620
E_form (uncorrected) (eV per atom): -0.109
Polymorph energy (0 for the lowest one) (eV per atom): 0.000

Unit cell a=5.2349 b=5.2349 c=5.2349 alpha=90.00 beta=90.00 gamma=90.00
Last column: nearest neighbours and their distance in Å.
Space group Pm-3m (No. 221)
Asymmetric unit:
Ga1 0.0000 0.0000 0.0000 (multiplicity 1)  12 Br 3.70
P1 0.5000 0.5000 0.5000 (multiplicity 1)  6 Br 2.62
Br1 0.0000 0.5000 0.5000 (multiplicity 3)  2 P 2.62

Number 1: total energy -2.309 eV per atom. Number 2: total energy -1.464 eV per atom. Number 3: total energy -3.489 eV per atom. Number 4: total energy -4.250 eV per atom. Number 5: total energy -7.734 eV per atom. Number 6: total energy -2.800 eV per atom.